Ti2MoOs | PBE | relaxed

Cell: 4.416 4.416 4.416 Å, 60.00 60.00 60.00°
Sites, in units of the cell vectors:
Mo1 0.250 0.250 0.250
Os1 0.750 0.750 0.750
Ti1 0.000 0.000 0.000
Ti2 0.500 0.500 0.500

Values from the calculation:
As for the calculated formation energy: -0.4121 eV/atom. Its total moment is 0.0 μB/cell. Its space group is Fm-3m (225).

---

VAg2Cl8 | PBE | relaxed

Cell: 6.088 7.362 8.323 Å, 95.75 90.00 114.42°
Sites, in units of the cell vectors:
V1 0.000 0.000 0.000
Ag1 0.841 0.682 0.569
Ag2 0.159 0.318 0.431
Cl1 0.868 0.239 0.028
Cl2 0.371 0.239 0.028
Cl3 0.132 0.761 0.972
Cl4 0.327 0.654 0.556
Cl5 0.629 0.761 0.972
Cl6 0.991 0.983 0.289
Cl7 0.009 0.017 0.711
Cl8 0.673 0.346 0.444

Values from the calculation:
Its total moment is 0.0 μB/cell. Its space group is C2/m (12). The formation energy from raw total energies is -0.6164 eV/atom.